# 1
A plane-wave DFT calculation with GGA+U was carried out for a relaxed structure of VIn2F.

Geometry as POSCAR:
```
VIn2F
1.0
0.000 3.452 3.452
3.452 0.000 3.452
3.452 3.452 0.000
V In F
1 2 1
Direct
0.000 0.000 0.000
0.250 0.250 0.250
0.750 0.750 0.750
0.500 0.500 0.500
```

Values from the calculation:
Crystal system = cubic
Energy relative to the lowest polymorph listed for this composition = 11.4 kJ per mole of atoms
M_tot = 4.02 μB/f.u.
Total DFT energy (no corrections) = -3.73 eV per atom
SG = Fm-3m

***

# 2
A plane-wave DFT calculation with GGA+U was carried out for a relaxed structure of V3InF.

Geometry as POSCAR:
```
V3InF
1.0
5.298 0.000 0.000
0.000 5.298 0.000
0.000 0.000 5.298
V In F
3 1 1
Direct
0.000 0.000 0.500
0.000 0.500 0.000
0.500 0.000 0.000
0.000 0.000 0.000
0.500 0.500 0.500
```

Values from the calculation:
Crystal system = cubic
Energy relative to the lowest polymorph listed for this composition = 106.6 kJ per mole of atoms
M_tot = 10.03 μB/f.u.
Total DFT energy (no corrections) = -4.01 eV per atom
SG = Pm-3m

***

# 3
A plane-wave DFT calculation with GGA+U was carried out for a relaxed structure of V2InF8.

Geometry as POSCAR:
```
V2InF8
1.0
5.109 -3.122 0.000
5.109 3.122 0.000
-0.759 0.000 5.157
V In F
2 1 8
Direct
0.225 0.225 0.496
0.775 0.775 0.504
0.500 0.500 0.000
0.106 0.106 0.730
0.132 0.573 0.679
0.333 0.333 0.213
0.427 0.868 0.321
0.573 0.132 0.679
0.667 0.667 0.787
0.868 0.427 0.321
0.894 0.894 0.270
```

Values from the calculation:
Crystal system = monoclinic
M_tot = 4.99 μB/f.u.
Total DFT energy (no corrections) = -5.47 eV per atom
SG = C2/m

***

# 4
A plane-wave DFT calculation with GGA+U was carried out for a relaxed structure of V3InF.

Geometry as POSCAR:
```
V3InF
1.0
4.496 0.000 0.000
0.000 4.496 0.000
0.000 0.000 4.496
V In F
3 1 1
Direct
0.000 0.000 0.500
0.000 0.500 0.000
0.500 0.000 0.000
0.500 0.500 0.500
0.000 0.000 0.000
```

Values from the calculation:
Crystal system = cubic
Energy relative to the lowest polymorph listed for this composition = 0.0 kJ per mole of atoms
M_tot = 9.06 μB/f.u.
Total DFT energy (no corrections) = -5.12 eV per atom
SG = Pm-3m

***

# 5
A plane-wave DFT calculation with GGA+U was carried out for a relaxed structure of VInF3.

Geometry as POSCAR:
```
VInF3
1.0
4.268 0.000 0.000
0.000 4.268 0.000
0.000 0.000 4.268
V In F
1 1 3
Direct
0.000 0.000 0.000
0.500 0.500 0.500
0.000 0.000 0.500
0.000 0.500 0.000
0.500 0.000 0.000
```

Values from the calculation:
Crystal system = cubic
Energy relative to the lowest polymorph listed for this composition = 0.0 kJ per mole of atoms
M_tot = 3.00 μB/f.u.
Total DFT energy (no corrections) = -5.41 eV per atom
SG = Pm-3m

***

# 6
A plane-wave DFT calculation with GGA+U was carried out for a relaxed structure of V4InF2.

Geometry as POSCAR:
```
V4InF2
1.0
-2.637 2.637 6.027
2.637 -2.637 6.027
2.637 2.637 -6.027
V In F
4 1 2
Direct
0.000 0.500 0.500
0.237 0.237 0.000
0.500 0.000 0.500
0.763 0.763 0.000
0.000 0.000 0.000
0.401 0.401 0.000
0.599 0.599 0.000
```

Values from the calculation:
Crystal system = tetragonal
M_tot = 12.64 μB/f.u.
Total DFT energy (no corrections) = -4.67 eV per atom
SG = I4/mmm

***

# 7
A plane-wave DFT calculation with GGA+U was carried out for a relaxed structure of VInF3.

Geometry as POSCAR:
```
VInF3
1.0
4.457 0.000 0.000
0.000 4.457 0.000
0.000 0.000 4.457
V In F
1 1 3
Direct
0.000 0.000 0.000
0.500 0.500 0.500
0.000 0.500 0.500
0.500 0.000 0.500
0.500 0.500 0.000
```

Values from the calculation:
Crystal system = cubic
Energy relative to the lowest polymorph listed for this composition = 99.7 kJ per mole of atoms
M_tot = 3.90 μB/f.u.
Total DFT energy (no corrections) = -4.38 eV per atom
SG = Pm-3m

***

# 8
A plane-wave DFT calculation with GGA+U was carried out for a relaxed structure of VInF4.

Geometry as POSCAR:
```
VInF4
1.0
5.166 0.000 0.000
-0.003 5.646 0.000
-2.569 -1.861 6.500
V In F
2 2 8
Direct
0.000 0.000 0.000
0.500 0.500 0.000
0.236 0.750 0.501
0.764 0.250 0.499
0.166 0.678 0.919
0.253 0.177 0.919
0.271 0.066 0.279
0.493 0.434 0.721
0.507 0.566 0.279
0.729 0.934 0.721
0.747 0.823 0.081
0.834 0.322 0.081
```

Values from the calculation:
Crystal system = triclinic
M_tot = 2.00 μB/f.u.
Total DFT energy (no corrections) = -5.45 eV per atom
SG = P-1

***

# 9
A plane-wave DFT calculation with GGA+U was carried out for a relaxed structure of VIn2F.

Geometry as POSCAR:
```
VIn2F
1.0
-3.848 3.848 2.876
3.848 -3.848 2.876
3.848 3.848 -2.876
V In F
2 4 2
Direct
0.000 0.000 0.000
0.750 0.250 0.500
0.179 0.625 0.054
0.375 0.429 0.554
0.571 0.125 0.946
0.875 0.821 0.446
0.250 0.750 0.500
0.500 0.500 0.000
```

Values from the calculation:
Crystal system = tetragonal
Energy relative to the lowest polymorph listed for this composition = 0.0 kJ per mole of atoms
M_tot = 3.41 μB/f.u.
Total DFT energy (no corrections) = -3.84 eV per atom
SG = I-42d

***

# 10
A plane-wave DFT calculation with GGA+U was carried out for a relaxed structure of VInF3.

Geometry as POSCAR:
```
VInF3
1.0
5.425 -2.118 0.000
5.425 2.118 0.000
-1.505 0.000 7.584
V In F
2 2 6
Direct
0.135 0.135 0.426
0.865 0.865 0.574
0.385 0.385 0.123
0.615 0.615 0.877
0.065 0.065 0.667
0.180 0.180 0.175
0.334 0.334 0.545
0.666 0.666 0.455
0.820 0.820 0.825
0.935 0.935 0.333
```

Values from the calculation:
Crystal system = monoclinic
Energy relative to the lowest polymorph listed for this composition = 1.9 kJ per mole of atoms
M_tot = 3.00 μB/f.u.
Total DFT energy (no corrections) = -5.39 eV per atom
SG = C2/m

***

# 11
A plane-wave DFT calculation with GGA+U was carried out for a relaxed structure of VIn3F6.

Geometry as POSCAR:
```
VIn3F6
1.0
5.747 0.000 0.000
0.000 7.672 0.000
-5.709 0.000 8.827
V In F
2 6 12
Direct
0.000 0.000 0.000
0.000 0.500 0.500
0.236 0.084 0.734
0.236 0.416 0.234
0.500 0.000 0.500
0.500 0.500 0.000
0.764 0.584 0.766
0.764 0.916 0.266
0.193 0.109 0.208
0.193 0.391 0.708
0.199 0.158 0.943
0.199 0.342 0.443
0.304 0.669 0.575
0.304 0.831 0.075
0.696 0.169 0.925
0.696 0.331 0.425
0.801 0.658 0.557
0.801 0.842 0.057
0.807 0.609 0.292
0.807 0.891 0.792
```

Values from the calculation:
Crystal system = monoclinic
M_tot = 2.00 μB/f.u.
Total DFT energy (no corrections) = -4.86 eV per atom
SG = P2_1/c

***

# 12
A plane-wave DFT calculation with GGA+U was carried out for a relaxed structure of VIn2F8.

Geometry as POSCAR:
```
VIn2F8
1.0
6.675 0.000 0.000
-3.338 5.781 0.000
0.000 0.000 4.300
V In F
1 2 8
Direct
0.000 0.000 0.000
0.333 0.667 0.762
0.667 0.333 0.238
0.156 0.315 0.754
0.159 0.844 0.754
0.315 0.159 0.246
0.333 0.667 0.262
0.667 0.333 0.738
0.685 0.841 0.754
0.841 0.156 0.246
0.844 0.685 0.246
```

Values from the calculation:
Crystal system = trigonal
M_tot = 2.90 μB/f.u.
Total DFT energy (no corrections) = -4.96 eV per atom
SG = P-3